Entry 1:
Entry from Alexandria via LeMat-Bulk: a relaxed Tm4InPd2 crystal (GGA-PBE).

Calculated values
Size of the total moment, μB per formula unit: 0.0
Formation energy from the elements, meV per atom: -511

abc: 4.7501 4.7501 28.2069
angles: 90.00 90.00 120.00
Space group R-3m (No. 166, hexagonal axes)
Inequivalent atoms, fractional coordinates:
Tm1 0.0000 0.0000 0.1154
Tm2 0.0000 0.0000 0.2968
In1 0.0000 0.0000 0.5000
Pd1 0.0000 0.0000 0.3999

***

Entry 2:
Entry from Alexandria via LeMat-Bulk: a relaxed LiCaSb2 crystal (GGA-PBE).

Calculated values
Polymorph energy (0 for the lowest one), eV/atom: 0.109
Size of the total moment, μB per formula unit: 0.0

abc: 7.469 7.469 7.469
angles: 90.00 90.00 90.00
Space group Fm-3m (No. 225)
Inequivalent atoms, fractional coordinates:
Li1 0.000 0.000 0.000
Ca1 0.000 0.000 0.500
Sb1 0.250 0.250 0.250

***

Entry 3:
Entry from Alexandria via LeMat-Bulk: a relaxed PmMg2SiAu4 crystal (GGA-PBE).

Calculated values
Size of the total moment, μB per formula unit: 0.0

abc: 4.4671 4.4671 27.8985
angles: 90.00 90.00 120.00
Space group R-3m (No. 166, hexagonal axes)
Inequivalent atoms, fractional coordinates:
Pm1 0.0000 0.0000 0.0000
Mg1 0.0000 0.0000 0.2399
Si1 0.0000 0.0000 0.5000
Au1 0.0000 0.0000 0.1314
Au2 0.0000 0.0000 0.3950

***

Entry 4:
Entry from Alexandria via LeMat-Bulk: a relaxed Ca3Ce2TaP6 crystal (GGA-PBE).

Calculated values
Size of the total moment, μB per formula unit: 0.5
Formation energy from the elements, meV per atom: -1160

abc: 6.903 11.965 7.005
angles: 90.00 109.39 90.00
Space group C2/m (No. 12)
Inequivalent atoms, fractional coordinates:
Ca1 0.000 0.000 0.000
Ca2 0.000 0.329 0.000
Ce1 0.000 0.166 0.500
Ta1 0.000 0.500 0.500
P1 0.231 0.345 0.726
P2 0.233 0.500 0.273

***

Entry 5:
Entry from Alexandria via LeMat-Bulk: a relaxed KSrBe2 crystal (GGA-PBE).

Calculated values
Polymorph energy (0 for the lowest one), eV/atom: 0.102
Size of the total moment, μB per formula unit: 0.0
Formation energy from the elements, meV per atom: 598

abc: 4.114 5.693 9.459
angles: 90.00 90.00 90.00
Space group Imm2 (No. 44)
Inequivalent atoms, fractional coordinates:
K1 0.000 0.000 0.000
Sr1 0.000 0.500 0.821
Be1 0.000 0.000 0.635
Be2 0.000 0.500 0.179

***

Entry 6:
Entry from Alexandria via LeMat-Bulk: a relaxed MnBTeI2 crystal (GGA-PBE).

Calculated values
Polymorph energy (0 for the lowest one), eV/atom: 0.000
Size of the total moment, μB per formula unit: 4.9

abc: 5.007 5.007 5.141
angles: 90.00 90.00 90.00
Space group P4/mmm (No. 123)
Inequivalent atoms, fractional coordinates:
Mn1 0.000 0.000 0.000
B1 0.500 0.500 0.500
Te1 0.500 0.500 0.000
I1 0.000 0.500 0.500

***

Entry 7:
Entry from Alexandria via LeMat-Bulk: a relaxed KSi2Pt2 crystal (GGA-PBE).

Calculated values
Polymorph energy (0 for the lowest one), eV/atom: 0.106
Size of the total moment, μB per formula unit: 0.0

abc: 4.253 4.253 10.667
angles: 90.00 90.00 90.00
Space group I4/mmm (No. 139)
Inequivalent atoms, fractional coordinates:
K1 0.000 0.000 0.000
Si1 0.000 0.000 0.366
Pt1 0.000 0.500 0.250

***

Entry 8:
Entry from Alexandria via LeMat-Bulk: a relaxed TaAlPb2 crystal (GGA-PBE).

Calculated values
Size of the total moment, μB per formula unit: 0.0
Formation energy from the elements, meV per atom: 261

abc: 3.173 3.173 9.400
angles: 90.00 90.00 90.00
Space group P4mm (No. 99)
Inequivalent atoms, fractional coordinates:
Ta1 0.000 0.000 0.000
Al1 0.500 0.500 0.180
Pb1 0.000 0.000 0.419
Pb2 0.500 0.500 0.754

***

Entry 9:
Entry from Alexandria via LeMat-Bulk: a relaxed TiCrS3 crystal (GGA-PBE).

Calculated values
Polymorph energy (0 for the lowest one), eV/atom: 1.010
Size of the total moment, μB per formula unit: 2.6

abc: 4.496 4.496 4.496
angles: 90.00 90.00 90.00
Space group Pm-3m (No. 221)
Inequivalent atoms, fractional coordinates:
Ti1 0.000 0.000 0.000
Cr1 0.500 0.500 0.500
S1 0.000 0.500 0.500

***

Entry 10:
Entry from Alexandria via LeMat-Bulk: a relaxed YInCu3 crystal (GGA-PBE).

Calculated values
Polymorph energy (0 for the lowest one), eV/atom: 0.525
Size of the total moment, μB per formula unit: 0.0
Formation energy from the elements, meV per atom: 380

abc: 4.776 4.776 4.776
angles: 90.00 90.00 90.00
Space group Pm-3m (No. 221)
Inequivalent atoms, fractional coordinates:
Y1 0.000 0.000 0.000
In1 0.500 0.500 0.500
Cu1 0.000 0.500 0.500

***

Entry 11:
Entry from Alexandria via LeMat-Bulk: a relaxed MnSe3 crystal (GGA-PBE).

Calculated values
Size of the total moment, μB per formula unit: 3.6

abc: 6.422 3.686 8.113
angles: 90.00 104.51 90.00
Space group C2/m (No. 12)
Inequivalent atoms, fractional coordinates:
Mn1 0.000 0.000 0.000
Se1 0.000 0.500 0.500
Se2 0.111 0.500 0.823

***

Entry 12:
Entry from Alexandria via LeMat-Bulk: a relaxed TaCrCuS4 crystal (GGA-PBE).

Calculated values
Size of the total moment, μB per formula unit: 2.4

abc: 6.900 7.263 9.951
angles: 90.00 90.00 90.00
Space group Imma (No. 74)
Inequivalent atoms, fractional coordinates:
Ta1 0.250 0.250 0.250
Cr1 0.000 0.000 0.000
Cu1 0.000 0.250 0.628
S1 0.000 0.005 0.243
S2 0.232 0.250 0.002

***

| no. | total energy (eV/atom) |
| --- | --- |
| 1 | -4.941 |
| 2 | -3.553 |
| 3 | -3.784 |
| 4 | -6.342 |
| 5 | -1.960 |
| 6 | -3.539 |
| 7 | -5.302 |
| 8 | -5.492 |
| 9 | -5.988 |
| 10 | -3.918 |
| 11 | -5.056 |
| 12 | -6.758 |